[1]
Below is an optimized crystal structure of Ho5Te2Ru, with properties calculated at the PBE level.

Cell: 6.574 6.574 14.453 Å, 90.00 90.00 127.41°
Positions (direct):
1 Ho 0.063 0.937 0.624
2 Ho 0.063 0.937 0.876
3 Ho 0.307 0.693 0.250
4 Ho 0.372 0.628 0.615
5 Ho 0.372 0.628 0.885
6 Ho 0.628 0.372 0.115
7 Ho 0.628 0.372 0.385
8 Ho 0.693 0.307 0.750
9 Ho 0.937 0.063 0.124
10 Ho 0.937 0.063 0.376
11 Te 0.190 0.810 0.059
12 Te 0.190 0.810 0.441
13 Te 0.810 0.190 0.559
14 Te 0.810 0.190 0.941
15 Ru 0.220 0.780 0.750
16 Ru 0.780 0.220 0.250

- symmetry = Cmcm
- polymorph energy (0 for the lowest one) (kJ/mol of atoms) = 25.7
- density (g/cm3) = 7.91
- formation energy from raw total energies (eV per atom) = -0.504

[2]
Below is an optimized crystal structure of MgHgGe, with properties calculated at the PBE level.

Cell: 7.117 4.230 8.821 Å, 90.00 90.00 90.00°
Positions (direct):
1 Mg 0.166 0.250 0.046
2 Mg 0.334 0.750 0.546
3 Mg 0.666 0.250 0.454
4 Mg 0.834 0.750 0.954
5 Hg 0.013 0.250 0.660
6 Hg 0.487 0.750 0.160
7 Hg 0.513 0.250 0.840
8 Hg 0.987 0.750 0.340
9 Ge 0.214 0.750 0.839
10 Ge 0.286 0.250 0.339
11 Ge 0.714 0.750 0.661
12 Ge 0.786 0.250 0.161

- symmetry = Pnma
- density (g/cm3) = 7.44
- formation energy from the elements (eV per formula unit) = 0.24

[3]
Below is an optimized crystal structure of Rb2SiPbS4, with properties calculated at the PBE level.

Cell: 8.377 8.377 8.842 Å, 117.54 117.54 88.47°
Positions (direct):
1 Rb 0.000 0.000 0.000
2 Rb 0.000 0.000 0.500
3 Rb 0.000 0.500 0.000
4 Rb 0.500 0.000 0.500
5 Si 0.000 0.500 0.500
6 Si 0.500 0.000 0.000
7 Pb 0.500 0.500 0.000
8 Pb 0.500 0.500 0.500
9 S 0.165 0.654 0.455
10 S 0.222 0.336 0.552
11 S 0.336 0.222 0.052
12 S 0.346 0.835 0.045
13 S 0.654 0.165 0.955
14 S 0.664 0.778 0.948
15 S 0.778 0.664 0.448
16 S 0.835 0.346 0.545

- symmetry = C2/c
- density (g/cm3) = 3.75
- formation energy from raw total energies (eV per atom) = -0.605

[4]
Below is an optimized crystal structure of TaWN, with properties calculated at the PBE level.

Cell: 9.859 3.004 5.334 Å, 90.00 100.52 90.00°
Positions (direct):
1 Ta 0.247 0.000 0.263
2 Ta 0.253 0.500 0.737
3 Ta 0.747 0.500 0.263
4 Ta 0.753 0.000 0.737
5 W 0.000 0.000 0.500
6 W 0.000 0.500 0.000
7 W 0.500 0.000 0.000
8 W 0.500 0.500 0.500
9 N 0.128 0.000 0.878
10 N 0.372 0.500 0.122
11 N 0.628 0.500 0.878
12 N 0.872 0.000 0.122

- symmetry = C2/m
- density (g/cm3) = 16.20
- formation energy from raw total energies (eV per atom) = -0.412

[5]
Below is an optimized crystal structure of YTeNF2, with properties calculated at the PBE level.

Cell: 4.670 4.670 4.177 Å, 90.00 90.00 90.00°
Positions (direct):
1 Y 0.000 0.000 0.000
2 Te 0.500 0.500 0.500
3 N 0.500 0.500 0.000
4 F 0.000 0.500 0.500
5 F 0.500 0.000 0.500

- symmetry = P4/mmm
- polymorph energy (0 for the lowest one) (kJ/mol of atoms) = 91.1
- density (g/cm3) = 4.89
- formation energy from raw total energies (eV per atom) = -0.606

[6]
Below is an optimized crystal structure of BaY2CCl, with properties calculated at the PBE level.

Cell: 4.705 4.705 8.033 Å, 90.00 90.00 90.00°
Positions (direct):
1 Ba 0.000 0.000 0.000
2 Y 0.000 0.500 0.500
3 Y 0.500 0.000 0.500
4 C 0.500 0.500 0.500
5 Cl 0.500 0.500 0.000

- symmetry = P4/mmm
- polymorph energy (0 for the lowest one) (kJ/mol of atoms) = 0.0
- density (g/cm3) = 3.39
- formation energy from raw total energies (eV per atom) = -0.262

[7]
Below is an optimized crystal structure of LiPuN, with properties calculated at the PBE level.

Cell: 5.587 5.587 5.587 Å, 90.00 90.00 90.00°
Positions (direct):
1 Li 0.000 0.000 0.000
2 Li 0.000 0.500 0.500
3 Li 0.500 0.000 0.500
4 Li 0.500 0.500 0.000
5 Pu 0.000 0.000 0.500
6 Pu 0.000 0.500 0.000
7 Pu 0.500 0.000 0.000
8 Pu 0.500 0.500 0.500
9 N 0.250 0.250 0.250
10 N 0.250 0.750 0.750
11 N 0.750 0.250 0.750
12 N 0.750 0.750 0.250

- symmetry = F-43m
- density (g/cm3) = 10.09
- formation energy from raw total energies (eV per atom) = -0.533

[8]
Below is an optimized crystal structure of LaC3S, with properties calculated at the PBE level.

Cell: 3.880 3.880 3.880 Å, 90.00 90.00 90.00°
Positions (direct):
1 La 0.000 0.000 0.000
2 C 0.000 0.500 0.500
3 C 0.500 0.000 0.500
4 C 0.500 0.500 0.000
5 S 0.500 0.500 0.500

- symmetry = Pm-3m
- polymorph energy (0 for the lowest one) (kJ/mol of atoms) = 0.0
- density (g/cm3) = 5.89
- formation energy from raw total energies (eV per atom) = 1.595

[9]
Below is an optimized crystal structure of Ho2ZrH, with properties calculated at the PBE level.

Cell: 3.320 3.320 27.134 Å, 90.00 90.00 120.00°
Positions (direct):
1 Ho 0.000 0.000 0.116
2 Ho 0.000 0.000 0.884
3 Ho 0.333 0.667 0.550
4 Ho 0.333 0.667 0.783
5 Ho 0.667 0.333 0.217
6 Ho 0.667 0.333 0.450
7 Zr 0.000 0.000 0.000
8 Zr 0.333 0.667 0.667
9 Zr 0.667 0.333 0.333
10 H 0.000 0.000 0.500
11 H 0.333 0.667 0.167
12 H 0.667 0.333 0.833

- symmetry = R-3m
- density (g/cm3) = 8.12
- electronic total energy (eV/atom) = -5.162

[10]
Below is an optimized crystal structure of Ba2NaCd3Bi4, with properties calculated at the PBE level.

Cell: 5.318 5.318 12.191 Å, 90.00 90.00 90.00°
Positions (direct):
1 Ba 0.000 0.500 0.238
2 Ba 0.500 0.000 0.762
3 Na 0.000 0.000 0.500
4 Cd 0.000 0.500 0.875
5 Cd 0.500 0.000 0.125
6 Cd 0.500 0.500 0.500
7 Bi 0.000 0.000 0.000
8 Bi 0.000 0.500 0.638
9 Bi 0.500 0.000 0.362
10 Bi 0.500 0.500 0.000

- symmetry = P-4m2
- density (g/cm3) = 7.08
- formation energy from the elements (eV per formula unit) = -4.40

[11]
Below is an optimized crystal structure of Li4Ag5Ge, with properties calculated at the PBE level.

Cell: 6.304 6.304 6.304 Å, 99.57 99.57 131.89°
Positions (direct):
1 Li 0.137 0.239 0.376
2 Li 0.239 0.863 0.102
3 Li 0.761 0.137 0.898
4 Li 0.863 0.761 0.624
5 Ag 0.178 0.555 0.711
6 Ag 0.252 0.252 0.000
7 Ag 0.467 0.178 0.622
8 Ag 0.555 0.844 0.378
9 Ag 0.844 0.467 0.289
10 Ge 0.730 0.730 0.000

- symmetry = I4
- density (g/cm3) = 6.24
- formation energy from the elements (eV per formula unit) = -0.53

[12]
Below is an optimized crystal structure of LiCuNi, with properties calculated at the PBE level.

Cell: 4.120 8.227 4.106 Å, 90.00 90.00 90.00°
Positions (direct):
1 Li 0.000 0.085 0.250
2 Li 0.000 0.915 0.750
3 Li 0.500 0.415 0.750
4 Li 0.500 0.585 0.250
5 Cu 0.000 0.258 0.750
6 Cu 0.000 0.742 0.250
7 Cu 0.500 0.242 0.250
8 Cu 0.500 0.758 0.750
9 Ni 0.000 0.423 0.250
10 Ni 0.000 0.577 0.750
11 Ni 0.500 0.077 0.750
12 Ni 0.500 0.923 0.250

- symmetry = Cmcm
- polymorph energy (0 for the lowest one) (kJ/mol of atoms) = 3.5
- density (g/cm3) = 6.17
- formation energy from the elements (eV per formula unit) = -0.03

[13]
Below is an optimized crystal structure of YLuNiPt, with properties calculated at the PBE level.

Cell: 6.832 6.832 6.832 Å, 90.00 90.00 90.00°
Positions (direct):
1 Y 0.000 0.000 0.000
2 Y 0.000 0.500 0.500
3 Y 0.500 0.000 0.500
4 Y 0.500 0.500 0.000
5 Lu 0.000 0.000 0.500
6 Lu 0.000 0.500 0.000
7 Lu 0.500 0.000 0.000
8 Lu 0.500 0.500 0.500
9 Ni 0.250 0.250 0.750
10 Ni 0.250 0.750 0.250
11 Ni 0.750 0.250 0.250
12 Ni 0.750 0.750 0.750
13 Pt 0.250 0.250 0.250
14 Pt 0.250 0.750 0.750
15 Pt 0.750 0.250 0.750
16 Pt 0.750 0.750 0.250

- symmetry = F-43m
- density (g/cm3) = 10.78
- formation energy from the elements (eV per formula unit) = -3.38

[14]
Below is an optimized crystal structure of GaHS2, with properties calculated at the PBE level.

Cell: 6.035 6.035 6.035 Å, 90.00 90.00 90.00°
Positions (direct):
1 Ga 0.000 0.000 0.000
2 Ga 0.000 0.500 0.500
3 Ga 0.500 0.000 0.500
4 Ga 0.500 0.500 0.000
5 H 0.000 0.000 0.500
6 H 0.000 0.500 0.000
7 H 0.500 0.000 0.000
8 H 0.500 0.500 0.500
9 S 0.250 0.250 0.250
10 S 0.250 0.250 0.750
11 S 0.250 0.750 0.250
12 S 0.250 0.750 0.750
13 S 0.750 0.250 0.250
14 S 0.750 0.250 0.750
15 S 0.750 0.750 0.250
16 S 0.750 0.750 0.750

- symmetry = Fm-3m
- polymorph energy (0 for the lowest one) (kJ/mol of atoms) = 109.5
- density (g/cm3) = 4.08

[15]
Below is an optimized crystal structure of Nd3Cd2Ag3, with properties calculated at the PBE level.

Cell: 3.789 5.288 20.433 Å, 90.00 90.00 90.00°
Positions (direct):
1 Nd 0.000 0.000 0.000
2 Nd 0.000 0.500 0.131
3 Nd 0.000 0.500 0.869
4 Nd 0.500 0.000 0.369
5 Nd 0.500 0.000 0.631
6 Nd 0.500 0.500 0.500
7 Cd 0.000 0.000 0.236
8 Cd 0.000 0.000 0.764
9 Cd 0.500 0.500 0.264
10 Cd 0.500 0.500 0.736
11 Ag 0.000 0.000 0.500
12 Ag 0.000 0.500 0.375
13 Ag 0.000 0.500 0.625
14 Ag 0.500 0.000 0.125
15 Ag 0.500 0.000 0.875
16 Ag 0.500 0.500 0.000

- symmetry = Immm
- density (g/cm3) = 7.96
- formation energy from the elements (eV per formula unit) = -1.83

[16]
Below is an optimized crystal structure of CuHg2GeP, with properties calculated at the PBE level.

Cell: 5.285 5.285 4.591 Å, 90.00 90.00 90.00°
Positions (direct):
1 Cu 0.000 0.000 0.000
2 Hg 0.000 0.500 0.500
3 Hg 0.500 0.000 0.500
4 Ge 0.000 0.000 0.500
5 P 0.500 0.500 0.000

- symmetry = P4/mmm
- density (g/cm3) = 7.36
- formation energy from the elements (eV per formula unit) = 4.09

[17]
Below is an optimized crystal structure of ScTlTc, with properties calculated at the PBE level.

Cell: 3.470 3.470 9.574 Å, 90.00 90.00 90.00°
Positions (direct):
1 Sc 0.000 0.000 0.000
2 Sc 0.500 0.500 0.500
3 Tl 0.000 0.000 0.691
4 Tl 0.500 0.500 0.191
5 Tc 0.000 0.000 0.357
6 Tc 0.500 0.500 0.857

- symmetry = I4mm
- polymorph energy (0 for the lowest one) (kJ/mol of atoms) = 0.0
- density (g/cm3) = 10.01
- formation energy from the elements (eV per formula unit) = 0.11

[18]
Below is an optimized crystal structure of K4RbPb, with properties calculated at the PBE level.

Cell: 11.717 11.717 7.919 Å, 109.58 109.58 49.46°
Positions (direct):
1 K 0.123 0.656 0.390
2 K 0.219 0.781 0.000
3 K 0.344 0.877 0.610
4 K 0.346 0.346 0.846
5 K 0.654 0.654 0.154
6 K 0.656 0.123 0.390
7 K 0.781 0.219 0.000
8 K 0.877 0.344 0.610
9 Rb 0.209 0.209 0.209
10 Rb 0.791 0.791 0.791
11 Pb 0.500 0.500 0.306
12 Pb 0.500 0.500 0.694

- symmetry = C2/m
- density (g/cm3) = 1.94
- formation energy from the elements (eV per formula unit) = -0.26

[19]
Below is an optimized crystal structure of As2Pd2Pb, with properties calculated at the PBE level.

Cell: 4.129 4.129 11.945 Å, 90.00 90.00 90.00°
Positions (direct):
1 As 0.000 0.500 0.250
2 As 0.000 0.500 0.750
3 As 0.500 0.000 0.250
4 As 0.500 0.000 0.750
5 Pd 0.000 0.000 0.118
6 Pd 0.000 0.000 0.882
7 Pd 0.500 0.500 0.382
8 Pd 0.500 0.500 0.618
9 Pb 0.000 0.000 0.500
10 Pb 0.500 0.500 0.000

- symmetry = I4/mmm
- polymorph energy (0 for the lowest one) (kJ/mol of atoms) = 9.1
- density (g/cm3) = 9.29
- formation energy from the elements (eV per formula unit) = -0.72

[20]
Below is an optimized crystal structure of PmZnInAu, with properties calculated at the PBE level.

Cell: 7.047 7.047 7.047 Å, 90.00 90.00 90.00°
Positions (direct):
1 Pm 0.000 0.000 0.000
2 Pm 0.000 0.500 0.500
3 Pm 0.500 0.000 0.500
4 Pm 0.500 0.500 0.000
5 Zn 0.250 0.250 0.250
6 Zn 0.250 0.750 0.750
7 Zn 0.750 0.250 0.750
8 Zn 0.750 0.750 0.250
9 In 0.000 0.000 0.500
10 In 0.000 0.500 0.000
11 In 0.500 0.000 0.000
12 In 0.500 0.500 0.500
13 Au 0.250 0.250 0.750
14 Au 0.250 0.750 0.250
15 Au 0.750 0.250 0.250
16 Au 0.750 0.750 0.750

- symmetry = F-43m
- density (g/cm3) = 9.91
- formation energy from the elements (eV per formula unit) = -2.13